No. 1
Computed, not measured: a relaxed structure of Ti5Si3C at the PBEsol level of DFT.

Lattice parameters (Å, degrees): 7.4101 7.4101 5.1076 90.00 90.00 120.00
Last column: nearest neighbours and their distance in Å.
Space group P6_3/mcm (No. 193)
One atom of each set of equivalent atoms:
Ti 0.0000 0.2325 0.2500 x6  2 C 2.14
Ti 0.3333 0.6667 0.0000 x4  2 Ti 2.55, 6 Si 2.59
Si 0.0000 0.4059 0.7500 x6  9 Ti 2.59-2.86
C 0.0000 0.0000 0.0000 x2  6 Ti 2.14

Spin magnetization   0.00 μB per formula unit
ΔE_f (raw)   -0.897 eV per atom
E_tot   -76.56 eV per formula unit

=====

No. 2
Computed, not measured: a relaxed structure of TlSi3C at the PBEsol level of DFT.

Lattice parameters (Å, degrees): 4.2308 4.2308 4.2308 90.00 90.00 90.00
Last column: nearest neighbours and their distance in Å.
Space group Pm-3m (No. 221)
One atom of each set of equivalent atoms:
Tl 0.0000 0.0000 0.0000 x1  12 Si 2.99
Si 0.0000 0.5000 0.5000 x3  2 C 2.12
C 0.5000 0.5000 0.5000 x1  6 Si 2.12

Spin magnetization   0.00 μB per formula unit
ΔE_f (raw)   0.920 eV per atom
E_tot   -24.92 eV per formula unit

=====

No. 3
Computed, not measured: a relaxed structure of SiWC2 at the PBEsol level of DFT.

Lattice parameters (Å, degrees): 4.6279 4.6279 8.6649 90.00 90.00 90.00
Last column: nearest neighbours and their distance in Å.
Space group I-42d (No. 122)
One atom of each set of equivalent atoms:
Si 0.0000 0.0000 0.0000 x4  4 C 1.89
W 0.0000 0.0000 0.5000 x4  4 C 2.04
C 0.2226 0.2500 0.1250 x8  2 Si 1.89, 2 W 2.04

Spin magnetization   0.00 μB per formula unit
ΔE_f (raw)   0.459 eV per atom
E_tot   -37.00 eV per formula unit

=====

No. 4
Computed, not measured: a relaxed structure of SiW2C at the PBEsol level of DFT.

Lattice parameters (Å, degrees): 4.8958 4.8958 10.8842 90.00 90.00 90.00
Last column: nearest neighbours and their distance in Å.
Space group I-42d (No. 122)
One atom of each set of equivalent atoms:
Si 0.0000 0.0000 0.0000 x4  4 W 2.46
W 0.1649 0.2500 0.6250 x8  2 C 2.00
C 0.0000 0.0000 0.5000 x4  4 W 2.00

Spin magnetization   0.00 μB per formula unit
ΔE_f (raw)   0.955 eV per atom
E_tot   -39.19 eV per formula unit